# PmZrTl

PmZrTl after structural relaxation (PBE-GGA, the Open Quantum Materials Database).

Summary:
The crystal system is cubic. As for the total energy: -4.9589 eV per atom. The spin magnetization is 3.9 μB per cell.

Lattice parameters (Å, degrees): 7.1414 7.1414 7.1414 90.00 90.00 90.00
Space group F-43m (No. 216)
One atom of each set of equivalent atoms:
1 Pm 0.0000 0.0000 0.0000
2 Zr 0.0000 0.0000 0.5000
3 Tl 0.2500 0.2500 0.2500